1.
GGA-PBE Nb2In2NiPd, relaxed; space group = Pm (6); calculated density = 8.37 Mg/m³; M_tot = 0.0 μB per formula unit; calculated volume = 460.4 Å³/cell; E_tot = -6.17 eV/atom
1.0
7.518 0.000 0.000
0.000 4.327 0.000
-2.446 0.000 14.155
In Nb Ni Pd
8 8 4 4
Cartesian
0.028 0.000 2.592
3.763 2.163 2.645
5.047 0.000 6.302
1.268 2.163 6.305
2.487 0.000 9.676
-1.175 2.163 9.682
0.013 0.000 13.214
3.868 2.163 13.265
1.205 2.163 0.834
5.086 0.000 0.862
6.287 2.163 4.531
2.528 0.000 4.533
3.786 2.163 7.907
0.027 0.000 7.967
1.231 2.163 11.423
5.122 0.000 11.507
2.536 0.000 7.075
6.291 2.163 7.090
0.024 0.000 10.583
-2.441 0.000 14.127
1.259 2.163 3.597
5.044 0.000 3.598
3.808 2.163 10.588
1.319 2.163 14.113

=====

2.
GGA-PBE ScNbInNi, relaxed; space group = F-43m (216); calculated density = 7.16 Mg/m³; M_tot = 3.0 μB per formula unit; calculated volume = 72.2 Å³/cell; relative energy among the computed polymorphs = 0.000 eV/atom
1.0
2.398 -3.881 1.015
-1.516 -2.871 3.362
-1.750 -4.187 -1.116
In Nb Ni Sc
1 1 1 1
Cartesian
0.000 0.000 0.000
-0.217 -2.735 0.815
-0.651 -8.205 2.446
-0.434 -5.470 1.630

=====

3.
GGA-PBE TaNbInNi, relaxed; space group = F-43m (216); calculated density = 10.73 Mg/m³; M_tot = 1.0 μB per formula unit; calculated volume = 69.2 Å³/cell; relative energy among the computed polymorphs = 0.000 eV/atom
1.0
2.050 -2.077 3.568
-2.169 -0.286 4.057
-1.555 -4.071 1.500
In Nb Ni Ta
1 1 1 1
Cartesian
0.000 0.000 0.000
-0.418 -1.609 2.281
-1.255 -4.826 6.844
-0.837 -3.217 4.563

=====

4.
GGA-PBE TaNbIn2Ni2, relaxed; space group = Pm (6); calculated density = 9.59 Mg/m³; M_tot = 0.0 μB per formula unit; calculated volume = 430.1 Å³/cell; E_tot = -6.49 eV/atom
1.0
8.476 0.000 0.000
0.000 4.235 0.000
-4.238 0.000 11.983
In Nb Ni Ta
8 4 8 4
Cartesian
0.001 2.118 1.496
4.238 2.118 1.499
6.356 0.000 4.490
2.118 0.000 4.495
4.235 2.118 7.489
0.001 2.118 7.494
-2.117 0.000 10.485
2.117 0.000 10.487
4.237 2.118 4.494
0.000 2.118 4.494
2.117 0.000 7.488
0.000 2.118 10.484
4.238 0.000 0.010
6.357 2.118 2.983
2.118 2.118 2.985
4.245 0.000 5.995
-0.008 0.000 5.997
-2.127 2.118 8.982
2.126 2.118 8.994
-4.238 0.000 11.981
2.120 0.000 1.498
6.357 0.000 1.498
-2.119 0.000 7.489
4.237 2.118 10.484

=====

5.
GGA-PBE NbInNiW, relaxed; space group = F-43m (216); calculated density = 11.20 Mg/m³; M_tot = 0.0 μB per formula unit; calculated volume = 66.8 Å³/cell; E_tot = -7.44 eV/atom
1.0
2.234 2.016 3.417
-0.789 4.379 0.967
-2.214 1.126 3.816
In Nb Ni W
1 1 1 1
Cartesian
0.000 0.000 0.000
-0.192 1.880 2.050
-0.577 5.640 6.150
-0.384 3.760 4.100

=====

6.
GGA-PBE NbZnInNi, relaxed; space group = F-43m (216); calculated density = 8.47 Mg/m³; M_tot = 0.1 μB per formula unit; calculated volume = 65.0 Å³/cell; E_tot = -4.72 eV/atom
1.0
0.000 3.192 3.192
3.192 0.000 3.192
3.192 3.192 0.000
In Nb Ni Zn
1 1 1 1
Cartesian
0.000 0.000 0.000
1.596 1.596 1.596
4.788 4.788 4.788
3.192 3.192 3.192

=====

7.
GGA-PBE ZrNbInNi, relaxed; space group = F-43m (216); calculated density = 7.98 Mg/m³; M_tot = 2.3 μB per formula unit; calculated volume = 74.4 Å³/cell; E_tot = -6.58 eV/atom
1.0
-1.926 -3.599 2.372
-2.241 0.791 4.079
-4.696 -0.428 0.235
In Nb Ni Zr
1 1 1 1
Cartesian
0.000 0.000 0.000
-2.216 -0.809 1.671
-6.647 -2.427 5.014
-4.432 -1.618 3.343

=====

8.
GGA-PBE Nb2In2O5, relaxed; space group = P4/mmm (123); calculated density = 6.82 Mg/m³; M_tot = 1.9 μB per formula unit; calculated volume = 120.7 Å³/cell; E_tot = -6.79 eV/atom
1.0
-7.570 6.582 -0.393
-0.671 -0.966 -3.262
-2.176 -2.433 1.169
In Nb O
2 2 5
Cartesian
-3.384 0.005 -1.148
-7.034 3.178 -1.338
0.000 0.000 0.000
-3.785 3.291 -0.196
-1.256 0.317 -1.679
-6.985 5.299 -1.976
-2.009 -0.416 0.537
-7.738 4.565 0.239
-5.209 1.591 -1.243